# 1
Cu2HgH2 | PBE | relaxed

Geometry as CIF:
```
data_Cu2HgH2
_symmetry_space_group_name_H-M 'P 4/m b m'
_symmetry_Int_Tables_number 127
_symmetry_space_group_name_Hall '-P 4 2ab'
_cell_length_a 6.617
_cell_length_b 6.617
_cell_length_c 2.628
_cell_angle_alpha 90.00
_cell_angle_beta 90.00
_cell_angle_gamma 90.00
loop_
_atom_site_label
_atom_site_type_symbol
_atom_site_fract_x
_atom_site_fract_y
_atom_site_fract_z
Cu1 Cu 0.128 0.372 0.000
Hg1 Hg 0.000 0.000 0.500
H1 H 0.090 0.590 0.500
```

Output
Total magnetization   0.0 Bohr magnetons per cell
Offset from the most stable computed form   37.10 kJ/mol of atoms
Final energy   -2.479 eV/atom


# 2
CuHgH | PBE | relaxed

Geometry as CIF:
```
data_CuHgH
_symmetry_space_group_name_H-M 'P m n 21'
_symmetry_Int_Tables_number 31
_cell_length_a 2.811
_cell_length_b 7.312
_cell_length_c 4.420
_cell_angle_alpha 90.00
_cell_angle_beta 90.00
_cell_angle_gamma 90.00
loop_
_symmetry_equiv_pos_as_xyz
'x,y,z'
'-x+1/2,-y,z+1/2'
'-x,y,z'
'x+1/2,-y,z+1/2'
loop_
_atom_site_label
_atom_site_type_symbol
_atom_site_fract_x
_atom_site_fract_y
_atom_site_fract_z
Cu1 Cu 0.000 0.000 0.000
Hg1 Hg 0.000 0.357 0.653
H1 H 0.000 0.904 0.657
```

Output
Total magnetization   0.0 Bohr magnetons per cell
Offset from the most stable computed form   0.00 kJ/mol of atoms
Final energy   -2.459 eV/atom


Look up the total magnetization of the first one. 0.0 Bohr magnetons per cell